Model a:
A plane-wave DFT calculation with GGA-PBE was carried out for a relaxed CdCuBiW crystal.

space-group type	F-43m

Unit cell a=4.775 b=4.775 c=4.775 alpha=60.00 beta=60.00 gamma=60.00
Fractional coordinates of all 4 atoms:
Bi1 0.000 0.000 0.000
Cu1 0.750 0.750 0.750
Cd1 0.500 0.500 0.500
W1 0.250 0.250 0.250

***

Model b:
A plane-wave DFT calculation with GGA-PBE was carried out for a relaxed CdCuBiW crystal.

space-group type	F-43m

Unit cell a=4.875 b=4.875 c=4.875 alpha=60.00 beta=60.00 gamma=60.00
Fractional coordinates of all 4 atoms:
Bi1 0.000 0.000 0.000
Cd1 0.250 0.250 0.250
W1 0.500 0.500 0.500
Cu1 0.750 0.750 0.750

***

Which structure wins on stability? model a wins.

***

Model a:
A plane-wave DFT calculation with GGA-PBE was carried out for a relaxed ZrCdCuBi crystal.

space-group type	F-43m

Unit cell a=4.977 b=4.977 c=4.977 alpha=60.00 beta=60.00 gamma=60.00
Fractional coordinates of all 4 atoms:
Cd1 0.750 0.750 0.750
Cu1 0.250 0.250 0.250
Zr1 0.500 0.500 0.500
Bi1 0.000 0.000 0.000

***

Model b:
A plane-wave DFT calculation with GGA-PBE was carried out for a relaxed ZrCdCuBi crystal.

space-group type	F-43m

Unit cell a=4.956 b=4.956 c=4.956 alpha=60.00 beta=60.00 gamma=60.00
Fractional coordinates of all 4 atoms:
Bi1 0.000 0.000 0.000
Cd1 0.500 0.500 0.500
Cu1 0.750 0.750 0.750
Zr1 0.250 0.250 0.250

***

Model c:
A plane-wave DFT calculation with GGA-PBE was carried out for a relaxed ZrCdCuBi crystal.

space-group type	F-43m

Unit cell a=4.965 b=4.965 c=4.965 alpha=60.00 beta=60.00 gamma=60.00
Fractional coordinates of all 4 atoms:
Cd1 0.750 0.750 0.750
Zr1 0.250 0.250 0.250
Bi1 0.000 0.000 0.000
Cu1 0.500 0.500 0.500

***

Which structure wins on stability? model b wins.

***

Model a:
A plane-wave DFT calculation with GGA-PBE was carried out for a relaxed ZrCdFeBi crystal.

space-group type	F-43m

Unit cell a=4.876 b=4.876 c=4.876 alpha=60.00 beta=60.00 gamma=60.00
Fractional coordinates of all 4 atoms:
Bi1 0.000 0.000 0.000
Zr1 0.250 0.250 0.250
Fe1 0.750 0.750 0.750
Cd1 0.500 0.500 0.500

***

Model b:
A plane-wave DFT calculation with GGA-PBE was carried out for a relaxed ZrCdFeBi crystal.

space-group type	F-43m

Unit cell a=4.909 b=4.909 c=4.909 alpha=60.00 beta=60.00 gamma=60.00
Fractional coordinates of all 4 atoms:
Bi1 0.000 0.000 0.000
Fe1 0.750 0.750 0.750
Cd1 0.250 0.250 0.250
Zr1 0.500 0.500 0.500

***

Which structure wins on stability? model a wins.

***

Model a:
A plane-wave DFT calculation with GGA-PBE was carried out for a relaxed K2SrCdBiSb crystal.

space-group type	Pmc2_1

Unit cell a=5.023 b=10.044 c=8.406 alpha=90.00 beta=90.00 gamma=90.00
Fractional coordinates of all 12 atoms:
Sr1 0.000 0.547 0.508
Sr2 0.000 0.453 0.008
K1 0.500 0.082 0.977
K2 0.000 0.160 0.652
K3 0.500 0.918 0.477
K4 0.000 0.840 0.152
Sb1 0.000 0.183 0.249
Sb2 0.000 0.817 0.749
Cd1 0.500 0.680 0.848
Cd2 0.500 0.320 0.348
Bi1 0.500 0.611 0.221
Bi2 0.500 0.389 0.721

***

Model b:
A plane-wave DFT calculation with GGA-PBE was carried out for a relaxed K2SrCdBiSb crystal.

space-group type	Pmc2_1

Unit cell a=5.041 b=10.115 c=8.355 alpha=90.00 beta=90.00 gamma=90.00
Fractional coordinates of all 12 atoms:
Bi1 0.000 0.682 0.249
Bi2 0.000 0.318 0.749
K1 0.000 0.668 0.658
K2 0.000 0.332 0.158
K3 0.500 0.583 0.971
K4 0.500 0.417 0.471
Sb1 0.500 0.107 0.219
Sb2 0.500 0.893 0.719
Cd1 0.500 0.828 0.352
Cd2 0.500 0.172 0.852
Sr1 0.000 0.045 0.505
Sr2 0.000 0.955 0.005

***

Which structure wins on stability? model b wins.

***

Model a:
A plane-wave DFT calculation with GGA-PBE was carried out for a relaxed LuCdBi crystal.

space-group type	F-43m

Unit cell a=5.105 b=5.105 c=5.105 alpha=60.00 beta=60.00 gamma=60.00
Fractional coordinates of all 3 atoms:
Cd1 0.750 0.750 0.750
Lu1 0.000 0.000 0.000
Bi1 0.250 0.250 0.250

***

Model b:
A plane-wave DFT calculation with GGA-PBE was carried out for a relaxed LuCdBi crystal.

space-group type	F-43m

Unit cell a=5.130 b=5.130 c=5.130 alpha=60.00 beta=60.00 gamma=60.00
Fractional coordinates of all 3 atoms:
Bi1 0.000 0.000 0.000
Cd1 0.250 0.250 0.250
Lu1 0.750 0.750 0.750

***

Which structure wins on stability? model a wins.

***

Model a:
A plane-wave DFT calculation with GGA-PBE was carried out for a relaxed NaCdNiBi crystal.

space-group type	F-43m

Unit cell a=4.944 b=4.944 c=4.944 alpha=60.00 beta=60.00 gamma=60.00
Fractional coordinates of all 4 atoms:
Ni1 0.500 0.500 0.500
Na1 0.750 0.750 0.750
Bi1 0.250 0.250 0.250
Cd1 0.000 0.000 0.000

***

Model b:
A plane-wave DFT calculation with GGA-PBE was carried out for a relaxed NaCdNiBi crystal.

space-group type	F-43m

Unit cell a=4.870 b=4.870 c=4.870 alpha=60.00 beta=60.00 gamma=60.00
Fractional coordinates of all 4 atoms:
Cd1 0.000 0.000 0.000
Bi1 0.500 0.500 0.500
Na1 0.750 0.750 0.750
Ni1 0.250 0.250 0.250

***

Which structure wins on stability? model b wins.

***

Model a:
A plane-wave DFT calculation with GGA-PBE was carried out for a relaxed NaCdBiPt crystal.

space-group type	F-43m

Unit cell a=4.992 b=4.992 c=4.992 alpha=60.00 beta=60.00 gamma=60.00
Fractional coordinates of all 4 atoms:
Pt1 0.500 0.500 0.500
Cd1 0.000 0.000 0.000
Bi1 0.250 0.250 0.250
Na1 0.750 0.750 0.750

***

Model b:
A plane-wave DFT calculation with GGA-PBE was carried out for a relaxed NaCdBiPt crystal.

space-group type	F-43m

Unit cell a=4.921 b=4.921 c=4.921 alpha=60.00 beta=60.00 gamma=60.00
Fractional coordinates of all 4 atoms:
Pt1 0.250 0.250 0.250
Na1 0.750 0.750 0.750
Bi1 0.500 0.500 0.500
Cd1 0.000 0.000 0.000

***

Which structure wins on stability? model b wins.

***

Model a:
A plane-wave DFT calculation with GGA-PBE was carried out for a relaxed PmCdBi crystal.

space-group type	F-43m

Unit cell a=5.119 b=5.119 c=5.119 alpha=60.00 beta=60.00 gamma=60.00
Fractional coordinates of all 3 atoms:
Bi1 0.250 0.250 0.250
Pm1 0.750 0.750 0.750
Cd1 0.000 0.000 0.000

***

Model b:
A plane-wave DFT calculation with GGA-PBE was carried out for a relaxed PmCdBi crystal.

space-group type	F-43m

Unit cell a=5.255 b=5.255 c=5.255 alpha=60.00 beta=60.00 gamma=60.00
Fractional coordinates of all 3 atoms:
Bi1 0.250 0.250 0.250
Pm1 0.000 0.000 0.000
Cd1 0.750 0.750 0.750

***

Which structure wins on stability? model b wins.